(1)
## Tb2ZnRh3 (GGA-PBE)

Data for a relaxed Tb2ZnRh3 crystal.

Density in g cm⁻³: 9.83
Total magnetization in μB per atom: 0.00

Unit cell a=4.5193 b=5.3450 c=9.6752 alpha=90.00 beta=90.00 gamma=90.00
With the nearest neighbours (Å) after each atom.
Space group Immm (No. 71)
Symmetry-distinct sites (fractional):
Tb 0.0000 0.0000 0.1856 (multiplicity 4)  6 Rh 2.72-2.89
Zn 0.0000 0.0000 0.5000 (multiplicity 2)  6 Rh 2.62-2.67
Rh 0.0000 0.5000 0.1360 (multiplicity 4)  2 Zn 2.62, 1 Rh 2.63, 4 Tb 2.72-2.84
Rh 0.0000 0.5000 0.5000 (multiplicity 2)  2 Zn 2.67, 4 Tb 2.89


(2)
## Tb2ZnRh3 (GGA-PBE)

Data for a relaxed Tb2ZnRh3 crystal.

Density in g cm⁻³: 10.59
Total magnetization in μB per atom: 0.00

Unit cell a=5.5537 b=5.5537 c=8.1230 alpha=90.00 beta=90.00 gamma=120.00
With the nearest neighbours (Å) after each atom.
Space group P6_3/mmc (No. 194)
Symmetry-distinct sites (fractional):
Tb 0.3333 0.6667 0.0591 (multiplicity 4)  9 Rh 2.97-3.18, 1 Tb 3.10, 3 Zn 3.24
Zn 0.0000 0.0000 0.0000 (multiplicity 2)  6 Rh 2.60
Rh 0.1680 0.3360 0.7500 (multiplicity 6)  2 Zn 2.60, 4 Rh 2.75-2.80


Short version: (2) is the most stable of them.


(1)
## Tb2ZrRh (GGA-PBE)

Data for a relaxed Tb2ZrRh crystal.

Density in g cm⁻³: 8.35
Total magnetization in μB per atom: 0.00

Unit cell a=3.3734 b=3.3734 c=30.9915 alpha=90.00 beta=90.00 gamma=120.00
With the nearest neighbours (Å) after each atom.
Space group R-3m (No. 166, hexagonal axes)
Symmetry-distinct sites (fractional):
Tb 0.0000 0.0000 0.1022 (multiplicity 6)  3 Rh 2.79
Zr 0.0000 0.0000 0.0000 (multiplicity 3)  2 Tb 3.17, 6 Zr 3.37
Rh 0.0000 0.0000 0.5000 (multiplicity 3)  6 Tb 2.79


(2)
## Tb2ZrRh (GGA-PBE)

Data for a relaxed Tb2ZrRh crystal.

Density in g cm⁻³: 8.91
Total magnetization in μB per atom: 0.00

Unit cell a=3.4809 b=3.4809 c=7.8765 alpha=90.00 beta=90.00 gamma=90.00
With the nearest neighbours (Å) after each atom.
Space group P4/mmm (No. 123)
Symmetry-distinct sites (fractional):
Tb 0.0000 0.0000 0.2108 (multiplicity 2)  4 Rh 2.97, 1 Tb 3.32
Zr 0.5000 0.5000 0.5000 (multiplicity 1)  8 Tb 3.35, 4 Zr 3.48
Rh 0.5000 0.5000 0.0000 (multiplicity 1)  8 Tb 2.97


Short version: (2) is the most stable of them.


(1)
## TcRh5 (GGA-PBE)

Data for a relaxed TcRh5 crystal.

Density in g cm⁻³: 11.92
Total magnetization in μB per atom: 0.00

Unit cell a=9.9985 b=2.7349 c=6.4393 alpha=90.00 beta=104.33 gamma=90.00
With the nearest neighbours (Å) after each atom.
Space group Cm (No. 8)
Symmetry-distinct sites (fractional):
Tc 0.0000 0.0000 0.0000 (multiplicity 2)  10 Rh 2.67-2.74, 2 Tc 2.73
Rh 0.1087 0.5000 0.7245 (multiplicity 2)  10 Rh 2.66-2.76, 2 Tc 2.67
Rh 0.1628 0.5000 0.3244 (multiplicity 2)  2 Tc 2.68, 10 Rh 2.69-2.81
Rh 0.2801 0.0000 0.0531 (multiplicity 2)  9 Rh 2.66-2.74, 3 Tc 2.68-2.74
Rh 0.3357 0.0000 0.6701 (multiplicity 2)  10 Rh 2.66-2.81, 2 Tc 2.71
Rh 0.4448 0.5000 0.3870 (multiplicity 2)  1 Tc 2.68, 11 Rh 2.69-2.75


(2)
## TcRh5 (GGA-PBE)

Data for a relaxed TcRh5 crystal.

Density in g cm⁻³: 11.72
Total magnetization in μB per atom: 0.00

Unit cell a=9.8742 b=2.7259 c=7.2017 alpha=90.00 beta=116.47 gamma=90.00
With the nearest neighbours (Å) after each atom.
Space group Cm (No. 8)
Symmetry-distinct sites (fractional):
Tc 0.0000 0.0000 0.0000 (multiplicity 2)  10 Rh 2.67-2.72, 2 Tc 2.73
Rh 0.0032 0.0000 0.6293 (multiplicity 2)  10 Rh 2.63-2.73, 1 Tc 2.68
Rh 0.2132 0.5000 0.3199 (multiplicity 2)  9 Rh 2.64-2.73, 2 Tc 2.70
Rh 0.2135 0.5000 0.9486 (multiplicity 2)  3 Tc 2.67-2.68, 9 Rh 2.68-2.73
Rh 0.2834 0.0000 0.6782 (multiplicity 2)  9 Rh 2.63-2.73, 2 Tc 2.72
Rh 0.4317 0.0000 0.2705 (multiplicity 2)  9 Rh 2.64-2.73, 2 Tc 2.70


(3)
## TcRh5 (GGA-PBE)

Data for a relaxed TcRh5 crystal.

Density in g cm⁻³: 11.30
Total magnetization in μB per atom: 0.00

Unit cell a=7.1140 b=7.1140 c=7.1140 alpha=90.00 beta=90.00 gamma=90.00
With the nearest neighbours (Å) after each atom.
Space group F-43m (No. 216)
Symmetry-distinct sites (fractional):
Tc 0.0000 0.0000 0.0000 (multiplicity 4)  16 Rh 2.95-3.08
Rh 0.1250 0.1250 0.6250 (multiplicity 16)  6 Rh 2.51-2.52
Rh 0.2500 0.2500 0.2500 (multiplicity 4)  12 Rh 2.95, 4 Tc 3.08


Short version: (1) is the most stable of them.